# PBE CsP3Pd, optimized geometry
# ΔE to the lowest computed polymorph ... 1795 meV per atom
# DFT formation energy ... 54.68 kcal/mol of atoms
# V ... 156.6 Å³/cell
data_CsP3Pd
_cell_length_a 5.390
_cell_length_b 5.390
_cell_length_c 5.390
_cell_angle_alpha 90.00
_cell_angle_beta 90.00
_cell_angle_gamma 90.00
_symmetry_space_group_name_H-M 'P m -3 m'
_symmetry_Int_Tables_number 221
_symmetry_space_group_name_Hall '-P 4 2 3'
loop_
_atom_site_label
_atom_site_type_symbol
_atom_site_fract_x
_atom_site_fract_y
_atom_site_fract_z
Cs1 Cs 0.000 0.000 0.000
P1 P 0.000 0.000 0.500
Pd1 Pd 0.500 0.500 0.500

# PBE Li2AlTlSb, optimized geometry
# Raw formation energy ... 0.345 eV per atom
# V ... 134.8 Å³/cell
data_Li2AlTlSb
_cell_length_a 5.056
_cell_length_b 5.056
_cell_length_c 5.273
_cell_angle_alpha 90.00
_cell_angle_beta 90.00
_cell_angle_gamma 90.00
_symmetry_space_group_name_H-M 'P 4/m m m'
_symmetry_Int_Tables_number 123
_symmetry_space_group_name_Hall '-P 4 2'
loop_
_atom_site_label
_atom_site_type_symbol
_atom_site_fract_x
_atom_site_fract_y
_atom_site_fract_z
Li1 Li 0.000 0.500 0.000
Al1 Al 0.000 0.000 0.000
Tl1 Tl 0.000 0.000 0.500
Sb1 Sb 0.500 0.500 0.500

# PBE Tb2Ho8Zr, optimized geometry
# ΔE to the lowest computed polymorph ... 167 meV per atom
# DFT formation energy ... 4.79 kcal/mol of atoms
# V ... 682.2 Å³/cell
data_Tb2Ho8Zr
_cell_length_a 16.471
_cell_length_b 6.474
_cell_length_c 6.552
_cell_angle_alpha 90.00
_cell_angle_beta 102.48
_cell_angle_gamma 90.00
_symmetry_space_group_name_H-M 'C 1 2/m 1'
_symmetry_Int_Tables_number 12
_symmetry_space_group_name_Hall '-C 2y'
loop_
_atom_site_label
_atom_site_type_symbol
_atom_site_fract_x
_atom_site_fract_y
_atom_site_fract_z
Tb1 Tb 0.185 0.000 0.319
Ho1 Ho 0.080 0.256 0.888
Ho2 Ho 0.093 0.500 0.415
Ho3 Ho 0.245 0.000 0.834
Zr1 Zr 0.000 0.000 0.500